HfNbReRh | PBE | relaxed

Lattice parameters (Å, degrees): 6.4726 6.4726 6.4726 90.00 90.00 90.00
Closest atoms and distances in Å follow each position.
Space group F-43m (No. 216)
Inequivalent atoms, fractional coordinates:
1 Hf 0.0000 0.0000 0.0000  4 Rh 2.80, 4 Re 2.80
2 Nb 0.0000 0.0000 0.5000  4 Re 2.80, 4 Rh 2.80
3 Re 0.2500 0.2500 0.7500  4 Hf 2.80, 4 Nb 2.80
4 Rh 0.2500 0.2500 0.2500  4 Hf 2.80, 4 Nb 2.80

Properties
The formation energy from the elements comes out at -0.455 eV/atom. The final energy comes out at -166.57 eV per cell.

HfNbReRu | PBE | relaxed

Lattice parameters (Å, degrees): 6.4467 6.4467 6.4467 90.00 90.00 90.00
Closest atoms and distances in Å follow each position.
Space group F-43m (No. 216)
Inequivalent atoms, fractional coordinates:
1 Hf 0.0000 0.0000 0.0000  4 Re 2.79, 4 Ru 2.79
2 Nb 0.0000 0.0000 0.5000  4 Re 2.79, 4 Ru 2.79
3 Re 0.2500 0.2500 0.7500  4 Hf 2.79, 4 Nb 2.79
4 Ru 0.2500 0.2500 0.2500  4 Hf 2.79, 4 Nb 2.79

Properties
The formation energy from the elements comes out at -0.453 eV/atom. For the energy above the most stable polymorph in this dataset, the calculation gives 16 meV per atom. The final energy comes out at -174.24 eV per cell.

HfNbReRu | PBE | relaxed

Lattice parameters (Å, degrees): 3.2232 3.2232 6.4602 90.00 90.00 90.00
Closest atoms and distances in Å follow each position.
Space group P4mm (No. 99)
Inequivalent atoms, fractional coordinates:
1 Hf 0.0000 0.0000 0.0000  4 Ru 2.80, 4 Re 2.83
2 Nb 0.0000 0.0000 0.5029  4 Re 2.74, 4 Ru 2.80
3 Re 0.5000 0.5000 0.7395  4 Nb 2.74, 4 Hf 2.83
4 Ru 0.5000 0.5000 0.2518  4 Nb 2.80, 4 Hf 2.80

Properties
The formation energy from the elements comes out at -0.469 eV/atom. For the energy above the most stable polymorph in this dataset, the calculation gives 0 meV per atom. The final energy comes out at -43.62 eV per cell.

HfNbRe2S | PBE | relaxed

Lattice parameters (Å, degrees): 4.8270 4.8270 4.5327 90.00 90.00 90.00
Closest atoms and distances in Å follow each position.
Space group P4/mmm (No. 123)
Inequivalent atoms, fractional coordinates:
1 Hf 0.0000 0.0000 0.0000  8 Re 3.31, 4 S 3.41
2 Nb 0.5000 0.5000 0.5000  2 S 2.27, 4 Re 2.41
3 Re 0.0000 0.5000 0.5000  2 Nb 2.41
4 S 0.5000 0.5000 0.0000  2 Nb 2.27

Properties
The final energy comes out at -42.03 eV per cell. The calculation puts the formation energy (no corrections) at 1.40 eV/atom.